A plane-wave DFT calculation with GGA-PBEsol was carried out for a geometry-optimized MgTl2As structure.

The structure belongs to space group Cmmm (No. 65); the cell edges are 5.913, 6.141 and 5.438 Å and the angles 90.00°, 90.00° and 90.00°. The distinct sites, in fractional coordinates, are Mg at (0.000, 0.000, 0.000), Tl at (0.000, 0.255, 0.500) and As at (0.000, 0.500, 0.000).

The volume comes out at 24.7 A^3/atom. As for the density: 8.545 g cm⁻³. The size of the total moment comes out at 0.0 μB per formula unit. The value obtained for the distance to the lowest polymorph of the same formula is 106 meV per atom. Its formation energy is 15 meV/atom. The value obtained for the energy is -0.110 Ha/atom.



A plane-wave DFT calculation with GGA-PBEsol was carried out for a geometry-optimized Ce4GdO9 structure.

The structure belongs to space group Imm2 (No. 44); the cell edges are 3.779, 19.325 and 5.467 Å and the angles 90.00°, 90.00° and 90.00°. The distinct sites, in fractional coordinates, are Ce at (0.000, 0.106, 0.000), Ce at (0.000, 0.301, 0.006), Gd at (0.000, 0.500, 0.059), O at (0.000, 0.000, 0.777), O at (0.000, 0.198, 0.254), O at (0.000, 0.202, 0.756), O at (0.000, 0.396, 0.262) and O at (0.000, 0.415, 0.757).

The volume comes out at 14.3 A^3/atom. As for the density: 7.168 g cm⁻³. The size of the total moment comes out at 8.3 μB per formula unit. For the uncorrected formation energy, the calculation gives -3.461 eV per atom. The value obtained for the energy is -0.358 Ha/atom.



A plane-wave DFT calculation with GGA-PBEsol was carried out for a geometry-optimized Li2MgP2 structure.

The structure belongs to space group I4/mmm (No. 139); the cell edges are 3.835, 3.835 and 10.394 Å and the angles 90.00°, 90.00° and 90.00°. The distinct sites, in fractional coordinates, are Li at (0.000, 0.500, 0.250), Mg at (0.000, 0.000, 0.000) and P at (0.000, 0.000, 0.394).

The volume comes out at 15.3 A^3/atom. As for the density: 2.176 g cm⁻³. The size of the total moment comes out at 0.0 μB per formula unit. Its formation energy is -454 meV/atom. The value obtained for the energy is -0.143 Ha/atom.



A plane-wave DFT calculation with GGA-PBEsol was carried out for a geometry-optimized CsRbH2 structure.

The structure belongs to space group I-42d (No. 122); the cell edges are 6.637, 6.637 and 13.010 Å and the angles 90.00°, 90.00° and 90.00°. The distinct sites, in fractional coordinates, are Cs at (0.000, 0.000, 0.000), Rb at (0.000, 0.000, 0.500) and H at (0.229, 0.250, 0.625).

The volume comes out at 35.8 A^3/atom. As for the density: 2.554 g cm⁻³. The size of the total moment comes out at 0.0 μB per formula unit. The value obtained for the distance to the lowest polymorph of the same formula is 35 meV per atom. The value obtained for the energy is -0.082 Ha/atom.



A plane-wave DFT calculation with GGA-PBEsol was carried out for a geometry-optimized HgSbOs2 structure.

The structure belongs to space group C2/m (No. 12); the cell edges are 8.506, 3.027 and 5.475 Å and the angles 90.00°, 100.71° and 90.00°. The distinct sites, in fractional coordinates, are Hg at (0.000, 0.000, 0.000), Sb at (0.000, 0.500, 0.500) and Os at (0.247, 0.000, 0.717).

The volume comes out at 17.3 A^3/atom. As for the density: 16.853 g cm⁻³. The size of the total moment comes out at 0.0 μB per formula unit. The value obtained for the distance to the lowest polymorph of the same formula is 297 meV per atom. For the uncorrected formation energy, the calculation gives 0.760 eV per atom. The value obtained for the energy is -0.244 Ha/atom.



A plane-wave DFT calculation with GGA-PBEsol was carried out for a geometry-optimized CrReTc3 structure.

The structure belongs to space group Pm-3m (No. 221); the cell edges are 4.609, 4.609 and 4.609 Å and the angles 90.00°, 90.00° and 90.00°. The distinct sites, in fractional coordinates, are Cr at (0.000, 0.000, 0.000), Re at (0.500, 0.500, 0.500) and Tc at (0.000, 0.500, 0.500).

The volume comes out at 19.6 A^3/atom. As for the density: 9.027 g cm⁻³. The size of the total moment comes out at 2.2 μB per formula unit. Its formation energy is 1938 meV/atom. The value obtained for the energy is -0.350 Ha/atom.



A plane-wave DFT calculation with GGA-PBEsol was carried out for a geometry-optimized AlW2Au structure.

The structure belongs to space group Pmm2 (No. 25); the cell edges are 2.730, 4.080 and 5.681 Å and the angles 90.00°, 90.00° and 90.00°. The distinct sites, in fractional coordinates, are Al at (0.000, 0.000, 0.000), W at (0.000, 0.000, 0.515), W at (0.500, 0.500, 0.738) and Au at (0.500, 0.500, 0.232).

The volume comes out at 15.8 A^3/atom. As for the density: 15.526 g cm⁻³. The size of the total moment comes out at 0.0 μB per formula unit. Its formation energy is 221 meV/atom. The value obtained for the energy is -0.319 Ha/atom.



A plane-wave DFT calculation with GGA-PBEsol was carried out for a geometry-optimized TaZnCl3 structure.

The structure belongs to space group Pm-3m (No. 221); the cell edges are 4.717, 4.717 and 4.717 Å and the angles 90.00°, 90.00° and 90.00°. The distinct sites, in fractional coordinates, are Ta at (0.000, 0.000, 0.000), Zn at (0.500, 0.500, 0.500) and Cl at (0.000, 0.500, 0.500).

The volume comes out at 21.0 A^3/atom. As for the density: 5.580 g cm⁻³. The size of the total moment comes out at 3.8 μB per formula unit. The value obtained for the distance to the lowest polymorph of the same formula is 836 meV per atom. For the uncorrected formation energy, the calculation gives 0.444 eV per atom. The value obtained for the energy is -0.132 Ha/atom.